[1]
An optimized crystal structure of TaTi3Rh, computed with PBE.

For the formation enthalpy at 0 K, the calculation gives 1.14 eV/atom.

Cell lengths 4.7070, 4.7070, 4.7070 Å; angles 90.00, 90.00, 90.00 degrees
Space group Pm-3m (No. 221)
Asymmetric unit:
Ta1 0.0000 0.0000 0.0000 x1
Ti1 0.0000 0.0000 0.5000 x3
Rh1 0.5000 0.5000 0.5000 x1

[2]
An optimized crystal structure of ErPd12Au7, computed with PBE.

For the formation enthalpy at 0 K, the calculation gives -0.16 eV/atom.

Cell lengths 12.0315, 12.0315, 8.2681 Å; angles 90.00, 90.00, 120.00 degrees
Space group R-3 (No. 148, hexagonal axes)
Asymmetric unit:
Er1 0.0000 0.0000 0.0000 x3
Pd1 0.0549 0.2433 0.0832 x18
Pd2 0.0624 0.2423 0.4158 x18
Au1 0.0000 0.0000 0.5000 x3
Au2 0.0545 0.2211 0.7499 x18

[3]
An optimized crystal structure of La2BeBr, computed with PBE.

The energy relative to the elements, uncorrected comes out at -0.2 kJ/mol of atoms.

Cell lengths 3.8435, 3.8435, 30.1568 Å; angles 90.00, 90.00, 120.00 degrees
Space group R3m (No. 160, hexagonal axes)
Asymmetric unit:
La1 0.0000 0.0000 0.0000 x3
La2 0.0000 0.0000 0.2325 x3
Be1 0.0000 0.0000 0.7338 x3
Br1 0.0000 0.0000 0.4953 x3

[4]
An optimized crystal structure of Rb4La3ZrSe8, computed with PBE.

The energy relative to the elements, uncorrected comes out at -159.3 kJ/mol of atoms.

Cell lengths 8.7029, 8.7029, 24.0225 Å; angles 90.00, 90.00, 120.00 degrees
Space group R-3m (No. 166, hexagonal axes)
Asymmetric unit:
Rb1 0.0000 0.0000 0.0000 x3
Rb2 0.0000 0.5000 0.0000 x9
La1 0.0000 0.5000 0.5000 x9
Zr1 0.0000 0.0000 0.5000 x3
Se1 0.0000 0.0000 0.2356 x6
Se2 0.0220 0.5110 0.2322 x18

[5]
An optimized crystal structure of Tm2SnBi, computed with PBE.

For the formation enthalpy at 0 K, the calculation gives -0.53 eV/atom.

Cell lengths 4.0092, 4.0092, 6.7940 Å; angles 90.00, 90.00, 90.00 degrees
Space group P4/mmm (No. 123)
Asymmetric unit:
Tm1 0.0000 0.0000 0.2456 x2
Sn1 0.5000 0.5000 0.0000 x1
Bi1 0.5000 0.5000 0.5000 x1

[6]
An optimized crystal structure of Pm2MgGa4, computed with PBE.

For the formation enthalpy at 0 K, the calculation gives -0.08 eV/atom.

Cell lengths 4.8035, 4.8035, 15.3221 Å; angles 90.00, 90.00, 90.00 degrees
Space group I4/mmm (No. 139)
Asymmetric unit:
Pm1 0.0000 0.0000 0.1339 x4
Mg1 0.0000 0.0000 0.5000 x2
Ga1 0.0000 0.0000 0.3283 x4
Ga2 0.0000 0.5000 0.0000 x4